Record 1
LaAl2Br: relaxed, PBE.

Properties
Excess energy over the best structure of this formula in the dataset ... 0.69 eV per formula unit

a b c (Å): 6.3536 6.3536 4.3754
angles (deg): 70.11 70.11 36.46
Closest atoms and distances in Å follow each position.
Sites, in units of the cell vectors:
Al (0.4987, 0.4987, 0.5026)  4 Al 2.95-2.96
Al (0.0013, 0.0013, 0.9974)  4 Al 2.95-2.96
La (0.2500, 0.2500, 0.2500)  4 Br 2.96
Br (0.7500, 0.7500, 0.7500)  4 La 2.96



Record 2
Pa2CrCo3P4: relaxed, PBE.

Properties
Formation energy ... -967 meV/atom

a b c (Å): 3.9833 3.9833 8.9218
angles (deg): 90.00 90.00 90.00
Closest atoms and distances in Å follow each position.
Sites, in units of the cell vectors:
Pa (0.0000, 0.5000, 0.7478)  2 Cr 2.98, 7 Co 2.98-3.24, 8 P 3.00
Pa (0.5000, 0.0000, 0.2522)  2 Cr 2.98, 7 Co 2.98-3.24, 8 P 3.00
Co (0.5000, 0.0000, 0.8895)  5 P 2.22-2.28
Co (0.0000, 0.0000, 0.5000)  4 P 2.32
Co (0.0000, 0.5000, 0.1105)  5 P 2.22-2.28
P (0.5000, 0.5000, 0.0000)  4 Co 2.22
P (0.0000, 0.5000, 0.3666)  3 Co 2.28-2.32, 2 Cr 2.32
P (0.5000, 0.0000, 0.6334)  3 Co 2.28-2.32, 2 Cr 2.32
P (0.0000, 0.0000, 0.0000)  4 Co 2.22
Cr (0.5000, 0.5000, 0.5000)  4 P 2.32



Record 3
Tl2Pd4Au: relaxed, PBE.

Properties
Excess energy over the best structure of this formula in the dataset ... 0.00 eV per formula unit
Formation energy ... -99 meV/atom

a b c (Å): 5.7070 5.7070 5.7070
angles (deg): 94.00 117.72 117.72
Closest atoms and distances in Å follow each position.
Sites, in units of the cell vectors:
Tl (0.5000, 0.5000, 0.0000)  8 Pd 2.85, 2 Au 2.95
Tl (0.5000, 0.0000, 0.5000)  8 Pd 2.85, 2 Au 2.95
Pd (0.5000, 0.0000, 0.0000)  4 Tl 2.85, 2 Au 2.85, 4 Pd 2.95
Pd (0.0000, 0.5000, 0.0000)  2 Au 2.85, 4 Tl 2.85, 4 Pd 2.95
Pd (0.5000, 0.5000, 0.5000)  4 Tl 2.85, 2 Au 2.85, 4 Pd 2.95
Pd (0.0000, 0.0000, 0.5000)  2 Au 2.85, 4 Tl 2.85, 4 Pd 2.95
Au (0.0000, 0.0000, 0.0000)  8 Pd 2.85, 4 Tl 2.95



Record 4
RbBaIn2I6: relaxed, PBE.

Properties
VASP energy ... -28.04 eV for the cell shown

a b c (Å): 8.5891 8.5894 9.1571
angles (deg): 89.97 117.97 120.04
Closest atoms and distances in Å follow each position.
Sites, in units of the cell vectors:
I (0.1061, 0.4297, 0.1591)  2 In 3.26-3.30, 1 Ba 3.51
I (0.5366, 0.9702, 0.6718)  2 In 3.19-3.34, 1 Ba 3.52
I (0.7437, 0.6755, 0.1590)  2 In 3.27-3.31, 1 Ba 3.51
I (0.7165, 0.5658, 0.6724)  2 In 3.19-3.34, 1 Ba 3.52
I (0.4970, 0.0664, 0.1587)  2 In 3.26-3.31, 1 Ba 3.51
I (0.1209, 0.1498, 0.6722)  2 In 3.19-3.34, 1 Ba 3.52
In (0.6065, 0.8026, 0.3952)  6 I 3.30-3.34
In (0.6151, 0.3068, 0.9078)  6 I 3.19-3.27
Rb (0.0237, 0.5114, 0.5215)  6 I 3.71-3.84
Ba (0.9995, 0.9995, 0.9847)  6 I 3.51-3.52